Entry 1:
## Ho4Rh3 (PBE)

Data for Ho4Rh3 after structural relaxation.

The space group is R-3m (No. 166, hexagonal axes) and the conventional cell measures 4.7879, 4.7879 and 23.6375 Å, with angles of 90.00, 90.00 and 120.00 degrees. The distinct sites, in fractional coordinates, are Ho at (0.0000, 0.0000, 0.1242), Ho at (0.0000, 0.0000, 0.3749), Rh at (0.0000, 0.0000, 0.2494) and Rh at (0.0000, 0.0000, 0.5000).

Entry 2:
## Ho4Rh (PBE)

Data for Ho4Rh after structural relaxation.

For the energy above the lowest structure with this stoichiometry, the calculation gives 0.0 meV per atom.

The space group is I-42d (No. 122) and the conventional cell measures 8.556, 8.556 and 7.883 Å, with angles of 90.00, 90.00 and 90.00 degrees. The distinct sites, in fractional coordinates, are Ho at (0.028, 0.199, 0.336) and Rh at (0.000, 0.000, 0.000).

| no. | total energy (eV per cell) | theoretical density (Mg/m³) | DOS at the Fermi energy (states/eV/f.u.) |
| --- | --- | --- | --- |
| 1 | -138.13 | 10.3 | 3.23 |
| 2 | -109.93 | 8.8 | 6.06 |